1) # ZnAsS2

Crystalline ZnAsS2 at its relaxed geometry (PBE, Alexandria).

Cell lengths 4.566, 4.566, 4.566 Å; angles 60.00, 60.00, 60.00 degrees
Positions (direct):
S 0.250 0.250 0.250
S 0.750 0.750 0.750
Zn 0.000 0.000 0.000
As 0.500 0.500 0.500

2) # ZnAsS2

Crystalline ZnAsS2 at its relaxed geometry (PBE, Alexandria).

Cell lengths 5.262, 5.262, 7.530 Å; angles 69.55, 69.55, 90.00 degrees
Positions (direct):
S 0.608 0.125 0.250
S 0.375 0.392 0.750
S 0.142 0.625 0.250
S 0.875 0.858 0.750
As 0.000 0.000 0.000
As 0.750 0.250 0.500
Zn 0.250 0.750 0.500
Zn 0.500 0.500 0.000

The least stable of them is 1).

1) # ZnAs3S

Crystalline ZnAs3S at its relaxed geometry (PBE, Alexandria).

Cell lengths 4.806, 4.806, 4.806 Å; angles 90.00, 90.00, 90.00 degrees
Positions (direct):
S 0.500 0.500 0.500
As 0.000 0.500 0.000
As 0.000 0.000 0.500
As 0.500 0.000 0.000
Zn 0.000 0.000 0.000

2) # ZnAs3S

Crystalline ZnAs3S at its relaxed geometry (PBE, Alexandria).

Cell lengths 4.829, 4.829, 4.829 Å; angles 90.00, 90.00, 90.00 degrees
Positions (direct):
Zn 0.500 0.500 0.500
As 0.000 0.000 0.500
As 0.500 0.000 0.000
As 0.000 0.500 0.000
S 0.000 0.000 0.000

The least stable of them is 1).

1) # Zn2AsS2

Crystalline Zn2AsS2 at its relaxed geometry (PBE, Alexandria).

Cell lengths 3.823, 3.823, 9.211 Å; angles 78.02, 78.02, 90.00 degrees
Each line ends with the local moment (μB).
Positions (direct):
Zn 0.250 0.750 0.500  0.01
Zn 0.750 0.250 0.500  0.01
As 0.000 0.000 0.000  0.56
S 0.669 0.669 0.663  0.02
S 0.331 0.331 0.337  0.02

2) # Zn2AsS2

Crystalline Zn2AsS2 at its relaxed geometry (PBE, Alexandria).

Cell lengths 7.458, 7.458, 3.622 Å; angles 90.00, 90.00, 90.00 degrees
Positions (direct):
Zn 0.887 0.387 0.500
Zn 0.387 0.113 0.500
Zn 0.613 0.887 0.500
Zn 0.113 0.613 0.500
As 0.000 0.000 0.000
As 0.500 0.500 0.000
S 0.245 0.255 0.000
S 0.755 0.745 0.000
S 0.255 0.755 0.000
S 0.745 0.245 0.000

The least stable of them is 1).

1) # SbAs

Crystalline SbAs at its relaxed geometry (PBE, Alexandria).

Cell lengths 3.201, 3.201, 10.206 Å; angles 90.00, 90.00, 111.18 degrees
Positions (direct):
Sb 0.000 0.000 0.503
Sb 0.500 0.500 0.247
As 0.500 0.500 0.786
As 0.000 0.000 0.964

2) # SbAs

Crystalline SbAs at its relaxed geometry (PBE, Alexandria).

Cell lengths 8.849, 8.849, 5.917 Å; angles 90.00, 90.00, 120.00 degrees
Positions (direct):
As 0.329 0.965 0.750
As 0.671 0.035 0.250
As 0.965 0.636 0.250
As 0.364 0.329 0.250
As 0.035 0.364 0.750
As 0.636 0.671 0.750
Sb 0.664 0.639 0.250
Sb 0.975 0.336 0.250
Sb 0.361 0.025 0.250
Sb 0.336 0.361 0.750
Sb 0.639 0.975 0.750
Sb 0.025 0.664 0.750

The least stable of them is 1).